Here is a relaxed structure of GdHoMg from OQMD. Energies are from PBE-GGA.

Structure (extended XYZ):
```
3
Lattice="0.000 3.700 3.700 3.700 0.000 3.700 3.700 3.700 0.000" Properties=species:S:1:pos:R:3 pbc="T T T"
Gd 1.850 1.850 1.850
Mg 0.000 0.000 0.000
Ho 5.551 5.551 5.551
```

E   -3.17 eV/atom
Crystal system   cubic
SG   No. 216

---

Here is a relaxed structure of Gd2HoMg3Pd2Pt from OQMD. Energies are from PBE-GGA.

Structure (extended XYZ):
```
9
Lattice="4.104 0.000 0.000 0.000 6.424 3.702 0.000 -6.424 3.702" Properties=species:S:1:pos:R:3 pbc="T T T"
Gd 0.000 3.798 2.190
Gd 0.000 -3.798 2.190
Pd 2.052 -2.122 3.697
Pd 2.052 2.122 3.697
Mg 2.052 0.000 5.595
Mg 2.052 -1.558 0.906
Mg 2.052 1.558 0.906
Pt 0.000 0.000 0.020
Ho 0.000 0.000 3.010
```

E   -4.66 eV/atom
Crystal system   orthorhombic
SG   No. 38

---

Here is a relaxed structure of Gd2HoMg4Tl2 from OQMD. Energies are from PBE-GGA.

Structure (extended XYZ):
```
9
Lattice="-1.386 -1.988 3.974 7.040 0.649 2.780 -5.001 5.618 1.066" Properties=species:S:1:pos:R:3 pbc="T T T"
Gd -2.166 2.442 0.466
Gd 3.054 0.288 1.209
Tl 2.322 1.324 4.198
Tl -1.665 2.969 3.631
Mg -0.200 0.523 2.918
Mg 4.637 -0.503 4.092
Mg -4.480 3.260 2.794
Mg 2.034 6.250 3.836
Ho 1.153 3.545 2.175
```

E   -3.00 eV/atom
Crystal system   orthorhombic
SG   No. 38

---

Here is a relaxed structure of GdHo2Mg4Tl2 from OQMD. Energies are from PBE-GGA.

Structure (extended XYZ):
```
9
Lattice="-2.485 -0.411 3.898 -1.801 -7.129 -1.899 6.225 1.407 4.116" Properties=species:S:1:pos:R:3 pbc="T T T"
Mg 3.474 0.861 5.068
Mg -0.168 -1.595 2.488
Mg -2.607 -5.607 0.510
Mg 0.012 -0.015 0.006
Tl -0.382 -4.492 2.046
Tl 2.311 -1.628 4.064
Ho 5.435 -1.693 3.286
Ho 0.907 -6.510 -0.108
Gd 2.500 -3.233 1.253
```

E   -2.98 eV/atom
Crystal system   orthorhombic
SG   No. 38

---

Here is a relaxed structure of GdHoTm2Mg2 from OQMD. Energies are from PBE-GGA.

Structure (extended XYZ):
```
6
Lattice="-3.027 -3.588 2.774 6.549 -1.038 5.804 4.684 1.672 7.275" Properties=species:S:1:pos:R:3 pbc="T T T"
Ho 5.177 -1.416 9.176
Tm 1.551 -1.621 4.955
Tm 8.151 0.460 9.491
Mg 8.996 -1.201 13.623
Mg 0.736 0.042 0.857
Gd 4.548 0.257 5.295
```

E   -3.60 eV/atom
Crystal system   orthorhombic
SG   No. 38

---

Here is a relaxed structure of Gd2HoTmMg2 from OQMD. Energies are from PBE-GGA.

Structure (extended XYZ):
```
6
Lattice="-4.387 0.670 3.227 5.194 -0.455 7.154 5.216 3.097 6.447" Properties=species:S:1:pos:R:3 pbc="T T T"
Mg 3.684 1.827 9.293
Mg 4.538 1.152 5.929
Gd 0.993 0.252 1.298
Gd 7.221 2.724 13.914
Ho 8.058 2.045 10.528
Tm 0.157 0.931 4.684
```

E   -3.64 eV/atom
Crystal system   orthorhombic
SG   No. 38

---

Here is a relaxed structure of GdHoMo from OQMD. Energies are from PBE-GGA.

Structure (extended XYZ):
```
3
Lattice="-2.332 -4.116 -1.320 2.573 -3.912 -1.484 0.262 -3.992 2.850" Properties=species:S:1:pos:R:3 pbc="T T T"
Mo 0.126 -3.005 0.012
Ho 0.000 0.000 0.000
Gd 0.377 -9.015 0.035
```

Formation energy   3.66 eV per formula unit
Crystal system   cubic
SG   No. 216

---

Here is a relaxed structure of Gd3HoPb2N2 from OQMD. Energies are from PBE-GGA.

Structure (extended XYZ):
```
8
Lattice="-0.165 2.886 -2.095 1.500 -3.003 -1.214 -13.986 -4.775 -5.476" Properties=species:S:1:pos:R:3 pbc="T T T"
Pb -10.497 -3.584 -4.110
Pb -2.520 -2.224 -2.864
N -6.598 -1.463 -4.537
N 0.340 0.906 -1.821
Ho -1.154 -0.394 -0.452
Gd -7.218 -3.827 -4.704
Gd -5.811 -1.984 -2.275
Gd -11.877 -5.418 -6.528
```

E   -6.41 eV/atom
Crystal system   trigonal
SG   No. 156

---

Here is a relaxed structure of Na2GdHoO4 from OQMD. Energies are from PBE-GGA.

Structure (extended XYZ):
```
8
Lattice="-2.300 2.300 5.160 2.300 -2.300 5.160 2.300 2.300 -5.160" Properties=species:S:1:pos:R:3 pbc="T T T"
Ho 0.000 2.300 2.580
Gd 0.000 0.000 0.000
Na 0.000 0.000 5.160
Na 2.300 0.000 2.580
O 0.000 2.300 0.319
O 0.000 2.300 4.841
O 0.000 0.000 8.000
O 0.000 0.000 2.320
```

E   -6.75 eV/atom
Crystal system   tetragonal
SG   No. 119

---

Here is a relaxed structure of GdHoNb2Si2 from OQMD. Energies are from PBE-GGA.

Structure (extended XYZ):
```
6
Lattice="-0.692 0.775 3.873 0.708 -3.844 0.896 7.564 1.632 1.025" Properties=species:S:1:pos:R:3 pbc="T T T"
Gd 2.675 0.577 0.362
Ho 4.902 -0.479 3.048
Si 1.818 -1.144 2.630
Si 5.752 1.241 0.779
Nb 7.916 -0.291 1.472
Nb 7.217 2.019 2.961
```

E   -7.34 eV/atom
Crystal system   tetragonal
SG   No. 99

---

Here is a relaxed structure of Nd3GdHo2NiTe2 from OQMD. Energies are from PBE-GGA.

Structure (extended XYZ):
```
9
Lattice="4.024 0.000 0.000 0.000 7.408 4.264 0.000 -7.408 4.264" Properties=species:S:1:pos:R:3 pbc="T T T"
Ho 2.012 -5.668 3.262
Ho 2.012 5.668 3.262
Ni 0.000 0.000 8.497
Te 2.012 -2.478 4.269
Te 2.012 2.478 4.269
Gd 2.012 0.000 2.016
Nd 0.000 3.011 1.733
Nd 0.000 -3.011 1.733
Nd 0.000 0.000 5.069
```

E   -5.18 eV/atom
Crystal system   orthorhombic
SG   No. 38

---

Here is a relaxed structure of GdHoNi from OQMD. Energies are from PBE-GGA.

Structure (extended XYZ):
```
3
Lattice="0.000 3.351 3.351 3.351 0.000 3.351 3.351 3.351 0.000" Properties=species:S:1:pos:R:3 pbc="T T T"
Gd 1.676 1.676 1.676
Ho 5.027 5.027 5.027
Ni 0.000 0.000 0.000
```

Formation energy   -0.45 eV per formula unit
Crystal system   cubic
SG   No. 216

---

Here is a relaxed structure of GdHoNi4 from OQMD. Energies are from PBE-GGA.

Structure (extended XYZ):
```
6
Lattice="-1.833 -3.248 3.410 -4.991 -0.667 0.426 -2.108 -4.335 -1.518" Properties=species:S:1:pos:R:3 pbc="T T T"
Ni -5.580 -5.154 1.449
Ni -3.091 -4.821 1.236
Ni -4.528 -2.992 2.205
Ni -4.666 -3.534 -0.252
Ho -2.233 -2.063 0.580
Gd 0.000 0.000 0.000
```

Formation energy   -2.65 eV per formula unit
Crystal system   cubic
SG   No. 216

---

Here is a relaxed structure of GdHoNi2 from OQMD. Energies are from PBE-GGA.

Structure (extended XYZ):
```
8
Lattice="-3.138 2.752 0.292 -3.577 -4.077 -0.022 0.351 -0.347 7.039" Properties=species:S:1:pos:R:3 pbc="T T T"
Ni -4.510 -2.378 3.914
Ni -2.075 -2.711 3.239
Ni -1.002 -1.860 6.763
Ni -2.003 0.853 0.411
Gd -2.690 -0.409 4.922
Gd -3.724 -1.214 1.397
Ho -2.861 -3.873 5.754
Ho -0.316 -0.599 2.251
```

Formation energy   -1.80 eV per formula unit
Crystal system   orthorhombic
SG   No. 26

---

Here is a relaxed structure of Gd3HoNi4 from OQMD. Energies are from PBE-GGA.

Structure (extended XYZ):
```
8
Lattice="-1.496 4.986 -1.563 -3.929 -0.786 1.255 1.561 2.475 6.434" Properties=species:S:1:pos:R:3 pbc="T T T"
Gd -1.878 0.704 1.583
Gd -0.021 6.365 3.918
Gd -1.458 3.133 4.419
Ni -2.839 2.820 -0.099
Ni 0.534 1.765 2.775
Ni -2.434 5.296 2.718
Ni 0.941 4.255 5.607
Ho -0.444 3.937 1.073
```

Formation energy   -3.49 eV per formula unit
Crystal system   monoclinic
SG   No. 6

---

Here is a relaxed structure of GdHo3Ni4 from OQMD. Energies are from PBE-GGA.

Structure (extended XYZ):
```
8
Lattice="5.414 0.000 0.000 0.000 4.175 0.000 -0.003 0.000 7.043" Properties=species:S:1:pos:R:3 pbc="T T T"
Ni 4.739 2.088 3.252
Ni 0.674 0.000 3.788
Ni 3.379 2.088 6.778
Ni 2.031 0.000 0.269
Ho 2.000 2.088 2.254
Ho 4.709 0.000 1.266
Ho 0.702 2.088 5.778
Gd 3.409 0.000 4.787
```

Formation energy   -3.70 eV per formula unit
Crystal system   monoclinic
SG   No. 6

---

Here is a relaxed structure of GdHoNi4 from OQMD. Energies are from PBE-GGA.

Structure (extended XYZ):
```
12
Lattice="5.373 0.000 0.000 -2.687 4.654 0.000 0.000 0.000 8.013" Properties=species:S:1:pos:R:3 pbc="T T T"
Gd 0.000 0.000 4.006
Gd 0.000 0.000 0.000
Ni 1.343 2.327 6.188
Ni -1.343 2.327 6.188
Ni 1.343 2.327 1.825
Ni 2.687 1.551 0.000
Ni -1.343 2.327 1.825
Ni 2.687 0.000 1.825
Ni 0.000 3.102 0.000
Ni 2.687 0.000 6.188
Ho 0.000 3.102 4.006
Ho 2.687 1.551 4.006
```

Formation energy   -0.25 eV per formula unit
Crystal system   hexagonal
SG   No. 191

---

Here is a relaxed structure of GdHo2Ni9 from OQMD. Energies are from PBE-GGA.

Structure (extended XYZ):
```
12
Lattice="-2.190 -5.768 5.914 1.594 -3.186 7.768 -2.977 -1.313 7.902" Properties=species:S:1:pos:R:3 pbc="T T T"
Ni -2.588 -7.171 11.960
Ni -1.190 -3.418 7.187
Ni -0.986 -3.094 9.624
Ni -0.591 -5.330 8.626
Ni -0.689 -5.876 12.891
Ni -2.384 -6.847 14.396
Ni -2.983 -4.936 12.958
Ni -1.787 -5.133 10.792
Ni -2.885 -4.390 8.693
Ho -3.076 -8.835 18.576
Ho -0.498 -1.431 3.008
Gd 0.000 0.000 0.000
```

Formation energy   -5.04 eV per formula unit
Crystal system   trigonal
SG   No. 166

---

Here is a relaxed structure of GdHoNi2 from OQMD. Energies are from PBE-GGA.

Structure (extended XYZ):
```
8
Lattice="-1.078 1.750 3.645 6.070 -2.139 2.823 2.343 4.630 -1.530" Properties=species:S:1:pos:R:3 pbc="T T T"
Gd 5.404 -0.503 4.243
Gd 1.913 2.770 -0.764
Ho 2.943 1.653 2.480
Ho 5.481 2.801 0.276
Ni 5.177 0.220 1.426
Ni 3.281 4.301 1.308
Ni 1.610 0.124 0.417
Ni 5.686 2.100 3.076
```

Formation energy   -1.80 eV per formula unit
Crystal system   orthorhombic
SG   No. 31

---

Here is a relaxed structure of GdHoNi2 from OQMD. Energies are from PBE-GGA.

Structure (extended XYZ):
```
8
Lattice="5.410 0.000 0.000 0.000 4.174 0.000 -0.009 0.000 7.037" Properties=species:S:1:pos:R:3 pbc="T T T"
Ni 4.729 1.044 3.785
Ni 0.672 3.131 3.252
Ni 2.023 3.131 6.769
Ni 3.378 1.044 0.268
Gd 0.703 1.044 1.266
Gd 4.698 3.131 5.770
Ho 1.995 1.044 4.782
Ho 3.406 3.131 2.255
```

Formation energy   -1.79 eV per formula unit
Crystal system   monoclinic
SG   No. 11